# GGA+U SrVF5, optimized geometry
# Total magnetic moment, μB per atom: 0.286
# Final energy, eV per atom: -6.0016
data_SrVF5
_chemical_formula_sum 'Sr4 V4 F20'
_cell_length_a 9.5127
_cell_length_b 6.7984
_cell_length_c 8.0299
_cell_angle_alpha 90.00
_cell_angle_beta 115.15
_cell_angle_gamma 90.00
_space_group_name_H-M_alt 'C 1 2/c 1'
_space_group_IT_number 15
loop_
_space_group_symop_operation_xyz
'x,y,z'
'-x,-y,-z'
'-x,y,-z+1/2'
'x,-y,z+1/2'
'x+1/2,y+1/2,z'
'-x+1/2,-y+1/2,-z'
'-x+1/2,y+1/2,-z+1/2'
'x+1/2,-y+1/2,z+1/2'
loop_
_atom_site_label
_atom_site_type_symbol
_atom_site_fract_x
_atom_site_fract_y
_atom_site_fract_z
Sr1 Sr 0.0000 0.0473 0.2500
V1 V 0.0000 0.5000 0.0000
F1 F 0.0000 0.4278 0.2500
F2 F 0.0103 0.2127 0.9716
F3 F 0.2228 0.4832 0.6140